[1]
NdDyCu | PBE | relaxed

Summary:
The total DFT energy (no corrections) comes out at -4.603 eV per atom.

Structure (extended XYZ):
```
6
Lattice="-3.554 -0.781 -1.272 0.698 -2.900 5.670 -1.460 7.899 -0.770" Properties=species:S:1:pos:R:3 pbc="T T T"
Nd -3.265 5.915 -0.349
Nd -1.051 -1.697 3.977
Cu -3.787 3.651 2.497
Cu -0.529 0.566 1.130
Dy -3.145 0.826 2.437
Dy -1.171 3.391 1.190
```


[2]
NdDyCu | PBE | relaxed

Summary:
The total DFT energy (no corrections) comes out at -4.442 eV per atom.

Structure (extended XYZ):
```
3
Lattice="3.645 0.000 0.000 -1.822 3.157 0.000 0.000 0.000 7.094" Properties=species:S:1:pos:R:3 pbc="T T T"
Nd 0.000 0.000 0.293
Cu 1.822 1.052 2.424
Dy 0.000 2.104 4.377
```


[3]
Nd2DyCu | PBE | relaxed

Summary:
The total DFT energy (no corrections) comes out at -4.598 eV per atom.

Structure (extended XYZ):
```
4
Lattice="3.625 0.000 0.000 0.000 3.625 0.000 0.000 0.000 8.658" Properties=species:S:1:pos:R:3 pbc="T T T"
Dy 1.813 1.813 4.329
Nd 0.000 0.000 1.753
Nd 0.000 0.000 6.905
Cu 1.813 1.813 0.000
```


The energy relative to the lowest polymorph listed for this composition results, record by record, are as follows: 0.0 161.0 0.0 meV/atom.
The ΔH_f (0 K) results, record by record, are as follows: -114 47 -39 meV/atom.